{
  "formula": "Ca2NdAu",
  "functional": "PBE",
  "state": "relaxed",
  "lattice": [[1.954, -6.432, 0.000], [1.954, 6.432, 0.000], [0.000, 0.000, 10.312]],
  "species": ["Ca", "Ca", "Ca", "Ca", "Nd", "Nd", "Au", "Au"],
  "frac_coords": [[0.138, 0.862, 0.565], [0.138, 0.862, 0.935], [0.862, 0.138, 0.065], [0.862, 0.138, 0.435], [0.426, 0.574, 0.750], [0.574, 0.426, 0.250], [0.250, 0.750, 0.250], [0.750, 0.250, 0.750]],
  "magnetic_moment_mub_per_cell": 0.01,
  "ef_mev_per_atom": -392,
  "relative_energy_mev_per_atom": 11.8
}